No. 1
! La4CdCoSn (GGA-PBE, relaxed); values from VASP
! energy = -4.8616 eV/atom
! ΔE_f = -0.328 eV per atom
&SYSTEM
  ibrav = 0, nat = 14, ntyp = 4
/
ATOMIC_SPECIES
La 138.91 La.upf
Cd 112.41 Cd.upf
Co 58.93 Co.upf
Sn 118.71 Sn.upf
ATOMIC_POSITIONS angstrom
La 7.088 -0.392 4.279
La 7.475 -4.815 1.701
La 1.515 -5.168 1.454
La 1.128 -0.744 4.032
La 4.302 -2.780 2.866
La 4.334 -0.214 -1.581
La 4.134 0.715 1.932
La 4.502 -3.709 -0.647
Cd 2.013 -1.633 0.547
Cd 6.590 -3.926 5.186
Co 4.388 -4.998 1.573
Co 4.215 -0.562 4.160
Sn 1.988 -4.199 4.995
Sn 6.616 -1.361 0.738
CELL_PARAMETERS angstrom
-0.401 1.859 7.026
0.336 -6.990 1.869
8.668 -0.428 -3.162

***

No. 2
! Ac2Pm4SmHo (GGA-PBE, relaxed); values from VASP
! energy = -4.1707 eV/atom
! ΔE_f = 0.394 eV per atom
&SYSTEM
  ibrav = 0, nat = 16, ntyp = 4
/
ATOMIC_SPECIES
Ac 227.00 Ac.upf
Pm 145.00 Pm.upf
Sm 150.36 Sm.upf
Ho 164.93 Ho.upf
ATOMIC_POSITIONS angstrom
Ac 4.837 -0.017 -0.899
Ac 1.821 -3.035 3.419
Ac -3.016 -3.018 4.319
Ac 4.816 4.820 -1.799
Pm -3.829 1.279 6.759
Pm 4.161 -0.440 2.600
Pm -0.560 4.043 2.440
Pm 7.430 2.325 -1.719
Pm 1.370 1.185 5.794
Pm 4.218 4.034 1.766
Pm -0.617 -0.431 3.274
Pm 2.231 2.419 -0.754
Sm -0.020 4.837 -0.899
Sm 6.637 1.785 1.620
Ho 1.800 1.802 2.520
Ho 3.642 -6.070 6.839
CELL_PARAMETERS angstrom
9.674 -0.034 -1.799
-0.041 9.674 -1.799
-6.032 -6.036 8.638

***

No. 3
! La8P3CBr4 (GGA-PBE, relaxed); values from VASP
! energy = -5.8945 eV/atom
! formation energy from raw total energies = -1422 meV/atom
&SYSTEM
  ibrav = 0, nat = 16, ntyp = 4
/
ATOMIC_SPECIES
La 138.91 La.upf
P 30.97 P.upf
C 12.01 C.upf
Br 79.90 Br.upf
ATOMIC_POSITIONS angstrom
La -2.255 2.088 6.030
La 0.000 4.343 2.841
La 0.000 0.381 3.229
La 2.255 2.088 6.030
La 1.930 2.590 0.237
La 4.185 4.297 3.038
La 4.185 0.335 3.426
La 6.439 2.590 0.237
P 4.185 4.431 0.174
P 2.092 2.339 3.133
P -2.092 2.339 3.133
C 0.000 4.431 0.174
Br 4.185 0.000 0.000
Br 2.092 -2.092 2.959
Br 0.000 0.000 0.000
Br -2.092 -2.092 2.959
CELL_PARAMETERS angstrom
8.369 0.000 0.000
0.000 8.863 0.348
-4.185 -4.185 5.919